{"formula": "Pr8Zn3SeI4", "functional": "PBE-GGA", "state": "relaxed", "cell": [[4.301, 2.483, 7.875], [-4.301, 2.483, 7.875], [0.000, -4.966, 7.875]], "species": ["Pr", "Pr", "Pr", "Pr", "Pr", "Pr", "Pr", "Pr", "Zn", "Zn", "Zn", "Se", "I", "I", "I", "I"], "fractional_positions": [[0.238, 0.238, 0.238], [0.238, 0.736, 0.736], [0.264, 0.264, 0.762], [0.264, 0.762, 0.264], [0.736, 0.238, 0.736], [0.736, 0.736, 0.238], [0.762, 0.264, 0.264], [0.762, 0.762, 0.762], [0.000, 0.000, 0.500], [0.000, 0.500, 0.000], [0.500, 0.000, 0.000], [0.500, 0.500, 0.500], [0.000, 0.000, 0.000], [0.000, 0.500, 0.500], [0.500, 0.000, 0.500], [0.500, 0.500, 0.000]], "final_energy_ev_per_atom": -4.026, "e_form_raw_ev_per_atom": -0.792}

{"formula": "Pr7SiI12", "functional": "PBE-GGA", "state": "relaxed", "cell": [[8.116, 4.686, 3.621], [-8.116, 4.686, 3.621], [0.000, -9.371, 3.621]], "species": ["Pr", "Pr", "Pr", "Pr", "Pr", "Pr", "Pr", "Si", "I", "I", "I", "I", "I", "I", "I", "I", "I", "I", "I", "I"], "fractional_positions": [[0.000, 0.000, 0.000], [0.187, 0.467, 0.396], [0.396, 0.187, 0.467], [0.467, 0.396, 0.187], [0.533, 0.604, 0.813], [0.604, 0.813, 0.533], [0.813, 0.533, 0.604], [0.500, 0.500, 0.500], [0.030, 0.110, 0.346], [0.110, 0.346, 0.030], [0.187, 0.578, 0.731], [0.269, 0.813, 0.422], [0.346, 0.030, 0.110], [0.422, 0.269, 0.813], [0.578, 0.731, 0.187], [0.654, 0.970, 0.890], [0.731, 0.187, 0.578], [0.813, 0.422, 0.269], [0.890, 0.654, 0.970], [0.970, 0.890, 0.654]], "final_energy_ev_per_atom": -4.195, "e_form_raw_ev_per_atom": -1.321}

{"formula": "Pr2SiI3", "functional": "PBE-GGA", "state": "relaxed", "cell": [[9.760, -2.388, 0.000], [9.760, 2.388, 0.000], [-7.113, 0.000, 10.285]], "species": ["Pr", "Pr", "Pr", "Pr", "Si", "Si", "I", "I", "I", "I", "I", "I"], "fractional_positions": [[0.104, 0.104, 0.427], [0.368, 0.368, 0.219], [0.632, 0.632, 0.781], [0.896, 0.896, 0.573], [0.054, 0.054, 0.613], [0.946, 0.946, 0.387], [0.164, 0.164, 0.999], [0.269, 0.269, 0.379], [0.460, 0.460, 0.784], [0.540, 0.540, 0.216], [0.731, 0.731, 0.621], [0.836, 0.836, 0.001]], "final_energy_ev_per_atom": -4.333, "e_form_raw_ev_per_atom": -1.061}